[1]
12
Lattice="-3.2704 0.7924 0.8933 -1.1061 -1.0311 -3.1360 -4.0148 -13.0863 3.7657" Properties=species:S:1:pos:R:3 comment="PBE-GGA VNi7Sb2Pd2, optimized geometry" e_form_raw_kj_per_mol_fu=-128 total_magnetization_mub_per_atom=0.000 e_tot_ev_per_atom=-5.795 rho_g_cm3=9.0 pbc="T T T"
Ni -3.0262 -6.0865 1.1290
Ni -5.4243 -11.0636 3.5974
Ni -4.3423 -11.9753 1.5829
Ni -5.3650 -7.2385 0.3940
Ni -2.1882 -0.1193 -1.1214
Ni -2.9669 -2.2613 -2.0744
Ni -4.0490 -1.3496 -0.0599
Pd -5.7236 -9.7461 1.3362
Pd -2.6676 -3.5788 0.1867
Sb -5.0293 -4.9384 -0.4665
Sb -3.3619 -8.3865 1.9895
V 0.0000 0.0000 0.0000

[2]
5
Lattice="-4.3043 -1.6659 1.0538 -0.8631 -0.6536 -4.5585 1.7678 -4.3820 0.2935" Properties=species:S:1:pos:R:3 comment="PBE-GGA NiSb2PdW, optimized geometry" e_form_raw_kj_per_mol_fu=510 total_magnetization_mub_per_atom=0.493 e_tot_ev_per_atom=-5.376 rho_g_cm3=9.4 pbc="T T T"
Sb 0.8839 -2.1910 0.1468
Sb -2.1522 -0.8330 0.5269
Ni 0.0000 0.0000 0.0000
W -1.6998 -3.3507 -1.6056
Pd -0.4315 -0.3268 -2.2793

[3]
12
Lattice="-0.1707 3.2820 1.0530 -3.3442 -0.4126 0.7455 1.6777 -2.6220 14.1899" Properties=species:S:1:pos:R:3 comment="PBE-GGA ZnNi7Sb2Pd2, optimized geometry" e_form_raw_kj_per_mol_fu=-23 total_magnetization_mub_per_atom=0.204 e_tot_ev_per_atom=-5.051 rho_g_cm3=9.1 pbc="T T T"
Sb -2.2513 1.3797 6.6575
Sb 0.4141 -1.1323 9.3310
Ni -0.4454 -2.2975 12.8388
Ni -1.6597 0.6783 8.9796
Ni 1.1414 -0.4501 12.9926
Ni -2.9786 0.6975 2.9959
Ni -1.7574 1.4347 0.8993
Ni -1.3918 2.5449 3.1496
Ni -0.1775 -0.4309 7.0088
Pd -0.8249 0.3362 4.4739
Pd -1.0123 -0.0888 11.5146
Zn 0.0000 0.0000 0.0000

[4]
4
Lattice="4.4622 0.0000 0.0000 2.2311 3.8644 0.0000 2.2311 1.2881 3.6434" Properties=species:S:1:pos:R:3 comment="PBE-GGA ZnNiSbPd, optimized geometry" e_form_raw_kj_per_mol_fu=-82 total_magnetization_mub_per_atom=0.000 e_tot_ev_per_atom=-4.305 rho_g_cm3=9.3 pbc="T T T"
Pd 2.2311 1.2881 0.9108
Zn 4.4622 2.5762 1.8217
Sb 0.0000 0.0000 0.0000
Ni 6.6933 3.8644 2.7325